{
  "formula": "Ac12Tb2Nd5",
  "functional": "PBE",
  "state": "optimized geometry",
  "lattice": [[9.627, -6.275, 0.000], [9.627, 6.275, 0.000], [-1.509, 0.000, 6.502]],
  "species": ["Ac", "Ac", "Ac", "Ac", "Ac", "Ac", "Ac", "Ac", "Ac", "Ac", "Ac", "Ac", "Tb", "Tb", "Nd", "Nd", "Nd", "Nd", "Nd"],
  "fractional_positions": [[0.044, 0.564, 0.797], [0.061, 0.061, 0.273], [0.151, 0.646, 0.372], [0.354, 0.849, 0.628], [0.392, 0.392, 0.984], [0.436, 0.956, 0.203], [0.564, 0.044, 0.797], [0.608, 0.608, 0.016], [0.646, 0.151, 0.372], [0.849, 0.354, 0.628], [0.939, 0.939, 0.727], [0.956, 0.436, 0.203], [0.258, 0.742, 0.000], [0.742, 0.258, 0.000], [0.187, 0.187, 0.858], [0.287, 0.287, 0.434], [0.500, 0.500, 0.500], [0.713, 0.713, 0.566], [0.813, 0.813, 0.142]]
}

***

{
  "formula": "AcTb15Nd4",
  "functional": "PBE",
  "state": "optimized geometry",
  "lattice": [[5.107, 0.000, 0.000], [0.000, 5.107, 0.000], [0.000, 0.000, 25.419]],
  "species": ["Ac", "Tb", "Tb", "Tb", "Tb", "Tb", "Tb", "Tb", "Tb", "Tb", "Tb", "Tb", "Tb", "Tb", "Tb", "Tb", "Nd", "Nd", "Nd", "Nd"],
  "fractional_positions": [[0.000, 0.000, 0.000], [0.000, 0.500, 0.103], [0.000, 0.500, 0.301], [0.000, 0.500, 0.500], [0.000, 0.500, 0.699], [0.000, 0.500, 0.897], [0.500, 0.000, 0.103], [0.500, 0.000, 0.301], [0.500, 0.000, 0.500], [0.500, 0.000, 0.699], [0.500, 0.000, 0.897], [0.500, 0.500, 0.000], [0.500, 0.500, 0.202], [0.500, 0.500, 0.401], [0.500, 0.500, 0.599], [0.500, 0.500, 0.798], [0.000, 0.000, 0.202], [0.000, 0.000, 0.401], [0.000, 0.000, 0.599], [0.000, 0.000, 0.798]]
}

***

| no. | total magnetic moment (Bohr magnetons per cell) | calculated total energy (eV/cell) | energy of formation (eV/atom) |
| --- | --- | --- | --- |
| 1 | 0.000 | -80.2 | 0.1137 |
| 2 | 0.000 | -92.1 | 0.0242 |